Entry 1:
This record from Alexandria describes a relaxed structure of Li12Mg3Ag. The functional is PBE-GGA.

a = 4.181 Å, b = 4.181 Å, c = 17.615 Å
α = 90.00°, β = 90.00°, γ = 90.00°
Fractional coordinates of all 16 atoms:
Li  0.000  0.000  0.000
Li  0.000  0.000  0.240
Li  0.000  0.000  0.500
Li  0.000  0.000  0.760
Li  0.000  0.500  0.112
Li  0.000  0.500  0.371
Li  0.000  0.500  0.629
Li  0.000  0.500  0.888
Li  0.500  0.000  0.112
Li  0.500  0.000  0.371
Li  0.500  0.000  0.629
Li  0.500  0.000  0.888
Mg  0.500  0.500  0.241
Mg  0.500  0.500  0.500
Mg  0.500  0.500  0.759
Ag  0.500  0.500  0.000

Summary:
As for the uncorrected energy: -1.966 eV per atom. The value obtained for the density of states at the Fermi level is 0.4162 states/eV per atom. For the formation energy, the calculation gives -0.0532 eV/atom.

***

Entry 2:
This record from Alexandria describes a relaxed structure of MgTlIO2. The functional is PBE-GGA.

a = 4.284 Å, b = 4.284 Å, c = 6.316 Å
α = 90.00°, β = 90.00°, γ = 90.00°
Fractional coordinates of all 5 atoms:
Mg  0.000  0.000  0.000
Tl  0.500  0.500  0.500
I  0.500  0.500  0.000
O  0.000  0.500  0.500
O  0.500  0.000  0.500

Summary:
As for the uncorrected energy: -3.186 eV per atom. For the uncorrected formation energy, the calculation gives -9.7 kJ per mole of atoms. The value obtained for the density of states at the Fermi level is 0.6074 states/eV per atom.

***

Entry 3:
This record from Alexandria describes a relaxed structure of Na3Nb3CoS8. The functional is PBE-GGA.

a = 8.075 Å, b = 8.075 Å, c = 8.075 Å
α = 50.85°, β = 50.85°, γ = 50.85°
Fractional coordinates of all 15 atoms:
Na  0.000  0.500  0.500
Na  0.500  0.000  0.500
Na  0.500  0.500  0.000
Nb  0.000  0.000  0.500
Nb  0.000  0.500  0.000
Nb  0.500  0.000  0.000
Co  0.500  0.500  0.500
S  0.240  0.240  0.240
S  0.247  0.729  0.729
S  0.271  0.271  0.753
S  0.271  0.753  0.271
S  0.729  0.247  0.729
S  0.729  0.729  0.247
S  0.753  0.271  0.271
S  0.760  0.760  0.760

Summary:
As for the uncorrected energy: -5.888 eV per atom. For the uncorrected formation energy, the calculation gives -90.2 kJ per mole of atoms. The value obtained for the density of states at the Fermi level is 0.4362 states/eV per atom.

***

Q: What is the uncorrected energy in the third record?
A: -5.888 eV per atom